1.
This record from Alexandria describes an optimized crystal structure of HfReN2F. The functional is PBE.

Properties
The space group is No. 123. For the formation energy from raw total energies, the calculation gives 153.1 meV per atom. The energy above the most stable polymorph in this dataset is 0.221 eV per atom.

The structure in POSCAR format:
```
HfReN2F
1.0
4.2492 0.0000 0.0000
0.0000 4.2492 0.0000
0.0000 0.0000 3.9353
Hf Re N F
1 1 2 1
Cartesian
0.0000 0.0000 0.0000
2.1246 2.1246 1.9676
0.0000 2.1246 0.0000
2.1246 0.0000 0.0000
0.0000 0.0000 1.9676
```

=====

2.
This record from Alexandria describes an optimized crystal structure of HfReN2F. The functional is PBE.

Properties
The space group is No. 123. For the formation energy from raw total energies, the calculation gives -68.3 meV per atom. The energy above the most stable polymorph in this dataset is 0.000 eV per atom.

The structure in POSCAR format:
```
HfReN2F
1.0
3.9271 0.0000 0.0000
0.0000 3.9271 0.0000
0.0000 0.0000 4.0155
Hf Re N F
1 1 2 1
Cartesian
0.0000 0.0000 0.0000
1.9636 1.9636 2.0078
0.0000 1.9636 2.0078
1.9636 0.0000 2.0078
1.9636 1.9636 0.0000
```

=====

3.
This record from Alexandria describes an optimized crystal structure of HfReNF2. The functional is PBE.

Properties
The space group is No. 123. For the formation energy from raw total energies, the calculation gives -145.7 meV per atom. The energy above the most stable polymorph in this dataset is 0.429 eV per atom.

The structure in POSCAR format:
```
HfReNF2
1.0
4.2469 0.0000 0.0000
0.0000 4.2469 0.0000
0.0000 0.0000 3.8462
Hf Re N F
1 1 1 2
Cartesian
0.0000 0.0000 0.0000
2.1235 2.1235 1.9231
2.1235 2.1235 0.0000
0.0000 2.1235 1.9231
2.1235 0.0000 1.9231
```

=====

4.
This record from Alexandria describes an optimized crystal structure of HfReNF2. The functional is PBE.

Properties
The space group is No. 123. For the formation energy from raw total energies, the calculation gives -574.8 meV per atom. The energy above the most stable polymorph in this dataset is 0.000 eV per atom.

The structure in POSCAR format:
```
HfReNF2
1.0
4.1620 0.0000 0.0000
0.0000 4.1620 0.0000
0.0000 0.0000 4.2799
Hf Re N F
1 1 1 2
Cartesian
0.0000 0.0000 0.0000
2.0810 2.0810 2.1399
0.0000 0.0000 2.1399
0.0000 2.0810 0.0000
2.0810 0.0000 0.0000
```

=====

5.
This record from Alexandria describes an optimized crystal structure of HfRuNF2. The functional is PBE.

Properties
The space group is No. 123. For the formation energy from raw total energies, the calculation gives 286.8 meV per atom. The energy above the most stable polymorph in this dataset is 1.278 eV per atom.

The structure in POSCAR format:
```
HfRuNF2
1.0
4.0288 0.0000 0.0000
0.0000 4.0288 0.0000
0.0000 0.0000 4.2571
Hf Ru N F
1 1 1 2
Cartesian
0.0000 0.0000 0.0000
2.0144 2.0144 0.0000
0.0000 0.0000 2.1285
0.0000 2.0144 2.1285
2.0144 0.0000 2.1285
```

=====

6.
This record from Alexandria describes an optimized crystal structure of HfRuN2F. The functional is PBE.

Properties
The space group is No. 123. For the formation energy from raw total energies, the calculation gives -53.3 meV per atom. The energy above the most stable polymorph in this dataset is 0.000 eV per atom.

The structure in POSCAR format:
```
HfRuN2F
1.0
4.2214 0.0000 0.0000
0.0000 4.2214 0.0000
0.0000 0.0000 3.9641
Hf Ru N F
1 1 2 1
Cartesian
0.0000 0.0000 0.0000
2.1107 2.1107 1.9821
0.0000 2.1107 0.0000
2.1107 0.0000 0.0000
0.0000 0.0000 1.9821
```

=====

7.
This record from Alexandria describes an optimized crystal structure of HfRuNF2. The functional is PBE.

Properties
The space group is No. 123. For the formation energy from raw total energies, the calculation gives -990.8 meV per atom. The energy above the most stable polymorph in this dataset is 0.000 eV per atom.

The structure in POSCAR format:
```
HfRuNF2
1.0
4.0996 0.0000 0.0000
0.0000 4.0996 0.0000
0.0000 0.0000 4.2723
Hf Ru N F
1 1 1 2
Cartesian
0.0000 0.0000 0.0000
2.0498 2.0498 2.1361
0.0000 0.0000 2.1361
0.0000 2.0498 0.0000
2.0498 0.0000 0.0000
```

=====

8.
This record from Alexandria describes an optimized crystal structure of HfRuN2F. The functional is PBE.

Properties
The space group is No. 123. For the formation energy from raw total energies, the calculation gives 70.1 meV per atom. The energy above the most stable polymorph in this dataset is 0.123 eV per atom.

The structure in POSCAR format:
```
HfRuN2F
1.0
3.9326 0.0000 0.0000
0.0000 3.9326 0.0000
0.0000 0.0000 3.8783
Hf Ru N F
1 1 2 1
Cartesian
0.0000 0.0000 0.0000
1.9663 1.9663 1.9392
0.0000 1.9663 1.9392
1.9663 0.0000 1.9392
1.9663 1.9663 0.0000
```

=====

9.
This record from Alexandria describes an optimized crystal structure of HfRuNF2. The functional is PBE.

Properties
The space group is No. 123. For the formation energy from raw total energies, the calculation gives -242.5 meV per atom. The energy above the most stable polymorph in this dataset is 0.748 eV per atom.

The structure in POSCAR format:
```
HfRuNF2
1.0
4.2978 0.0000 0.0000
0.0000 4.2978 0.0000
0.0000 0.0000 3.7334
Hf Ru N F
1 1 1 2
Cartesian
0.0000 0.0000 0.0000
2.1489 2.1489 1.8667
2.1489 2.1489 0.0000
0.0000 2.1489 1.8667
2.1489 0.0000 1.8667
```

=====

10.
This record from Alexandria describes an optimized crystal structure of HfS2NF. The functional is PBE.

Properties
The space group is No. 123. For the formation energy from raw total energies, the calculation gives 670.3 meV per atom. The energy above the most stable polymorph in this dataset is 0.653 eV per atom.

The structure in POSCAR format:
```
HfS2NF
1.0
4.2934 0.0000 0.0000
0.0000 4.2934 0.0000
0.0000 0.0000 3.7954
Hf S N F
1 2 1 1
Cartesian
0.0000 0.0000 0.0000
0.0000 2.1467 1.8977
2.1467 0.0000 1.8977
2.1467 2.1467 0.0000
2.1467 2.1467 1.8977
```

=====

11.
This record from Alexandria describes an optimized crystal structure of HfSNF2. The functional is PBE.

Properties
The space group is No. 123. For the formation energy from raw total energies, the calculation gives 75.7 meV per atom. The energy above the most stable polymorph in this dataset is 1.468 eV per atom.

The structure in POSCAR format:
```
HfSNF2
1.0
4.7359 0.0000 0.0000
0.0000 4.7359 0.0000
0.0000 0.0000 3.2637
Hf S N F
1 1 1 2
Cartesian
0.0000 0.0000 0.0000
2.3679 2.3679 1.6319
2.3679 2.3679 0.0000
0.0000 2.3679 1.6319
2.3679 0.0000 1.6319
```

=====

12.
This record from Alexandria describes an optimized crystal structure of HfSNF2. The functional is PBE.

Properties
The space group is No. 123. For the formation energy from raw total energies, the calculation gives -1391.9 meV per atom. The energy above the most stable polymorph in this dataset is 0.000 eV per atom.

The structure in POSCAR format:
```
HfSNF2
1.0
4.0283 0.0000 0.0000
0.0000 4.0283 0.0000
0.0000 0.0000 4.4132
Hf S N F
1 1 1 2
Cartesian
0.0000 0.0000 0.0000
2.0142 2.0142 2.2066
0.0000 0.0000 2.2066
0.0000 2.0142 0.0000
2.0142 0.0000 0.0000
```

=====

13.
This record from Alexandria describes an optimized crystal structure of HfS2NF. The functional is PBE.

Properties
The space group is No. 123. For the formation energy from raw total energies, the calculation gives 17.3 meV per atom. The energy above the most stable polymorph in this dataset is 0.000 eV per atom.

The structure in POSCAR format:
```
HfS2NF
1.0
4.9841 0.0000 0.0000
0.0000 4.9841 0.0000
0.0000 0.0000 4.1894
Hf S N F
1 2 1 1
Cartesian
0.0000 0.0000 0.0000
0.0000 2.4921 0.0000
2.4921 0.0000 0.0000
0.0000 0.0000 2.0947
2.4921 2.4921 2.0947
```

=====

14.
This record from Alexandria describes an optimized crystal structure of HfSbN2F. The functional is PBE.

Properties
The space group is No. 123. For the formation energy from raw total energies, the calculation gives -732.9 meV per atom. The energy above the most stable polymorph in this dataset is 0.000 eV per atom.

The structure in POSCAR format:
```
HfSbN2F
1.0
4.2982 0.0000 0.0000
0.0000 4.2982 0.0000
0.0000 0.0000 3.9987
Hf Sb N F
1 1 2 1
Cartesian
0.0000 0.0000 0.0000
2.1491 2.1491 1.9994
0.0000 2.1491 0.0000
2.1491 0.0000 0.0000
0.0000 0.0000 1.9994
```

=====

15.
This record from Alexandria describes an optimized crystal structure of HfSbN2F. The functional is PBE.

Properties
The space group is No. 123. For the formation energy from raw total energies, the calculation gives 333.4 meV per atom. The energy above the most stable polymorph in this dataset is 1.066 eV per atom.

The structure in POSCAR format:
```
HfSbN2F
1.0
4.1836 0.0000 0.0000
0.0000 4.1836 0.0000
0.0000 0.0000 4.0384
Hf Sb N F
1 1 2 1
Cartesian
0.0000 0.0000 0.0000
2.0918 2.0918 2.0192
0.0000 2.0918 2.0192
2.0918 0.0000 2.0192
2.0918 2.0918 0.0000
```

=====

16.
This record from Alexandria describes an optimized crystal structure of HfScNF2. The functional is PBE.

Properties
The space group is No. 123. For the formation energy from raw total energies, the calculation gives -1746.2 meV per atom. The energy above the most stable polymorph in this dataset is 0.000 eV per atom.

The structure in POSCAR format:
```
HfScNF2
1.0
4.1730 0.0000 0.0000
0.0000 4.1730 0.0000
0.0000 0.0000 4.2412
Hf Sc N F
1 1 1 2
Cartesian
0.0000 0.0000 0.0000
2.0865 2.0865 2.1206
0.0000 0.0000 2.1206
0.0000 2.0865 0.0000
2.0865 0.0000 0.0000
```

=====

17.
This record from Alexandria describes an optimized crystal structure of HfScNF2. The functional is PBE.

Properties
The space group is No. 123. For the formation energy from raw total energies, the calculation gives -1571.4 meV per atom. The energy above the most stable polymorph in this dataset is 0.175 eV per atom.

The structure in POSCAR format:
```
HfScNF2
1.0
3.8623 0.0000 0.0000
0.0000 3.8623 0.0000
0.0000 0.0000 4.7692
Hf Sc N F
1 1 1 2
Cartesian
0.0000 0.0000 0.0000
1.9312 1.9312 2.3846
1.9312 1.9312 0.0000
0.0000 1.9312 2.3846
1.9312 0.0000 2.3846
```

=====

18.
This record from Alexandria describes an optimized crystal structure of HfSe2NF. The functional is PBE.

Properties
The space group is No. 123. For the formation energy from raw total energies, the calculation gives -40.2 meV per atom. The energy above the most stable polymorph in this dataset is 0.000 eV per atom.

The structure in POSCAR format:
```
HfSe2NF
1.0
5.1922 0.0000 0.0000
0.0000 5.1922 0.0000
0.0000 0.0000 4.1474
Hf Se N F
1 2 1 1
Cartesian
0.0000 0.0000 0.0000
0.0000 2.5961 0.0000
2.5961 0.0000 0.0000
0.0000 0.0000 2.0737
2.5961 2.5961 2.0737
```

=====

19.
This record from Alexandria describes an optimized crystal structure of HfSe2NF. The functional is PBE.

Properties
The space group is No. 123. For the formation energy from raw total energies, the calculation gives 643.7 meV per atom. The energy above the most stable polymorph in this dataset is 0.684 eV per atom.

The structure in POSCAR format:
```
HfSe2NF
1.0
4.4948 0.0000 0.0000
0.0000 4.4948 0.0000
0.0000 0.0000 3.9094
Hf Se N F
1 2 1 1
Cartesian
0.0000 0.0000 0.0000
0.0000 2.2474 1.9547
2.2474 0.0000 1.9547
2.2474 2.2474 0.0000
2.2474 2.2474 1.9547
```

=====

20.
This record from Alexandria describes an optimized crystal structure of HfSiN2F. The functional is PBE.

Properties
The space group is No. 123. For the formation energy from raw total energies, the calculation gives -804.5 meV per atom. The energy above the most stable polymorph in this dataset is 0.000 eV per atom.

The structure in POSCAR format:
```
HfSiN2F
1.0
3.7379 0.0000 0.0000
0.0000 3.7379 0.0000
0.0000 0.0000 3.4704
Hf Si N F
1 1 2 1
Cartesian
0.0000 0.0000 0.0000
1.8690 1.8690 1.7352
0.0000 1.8690 1.7352
1.8690 0.0000 1.7352
1.8690 1.8690 0.0000
```